Density functional theory data (PBE) for a geometry-optimized HoTaTcOs structure.

Cell: 4.6293 4.6293 4.6293 Å, 60.00 60.00 60.00°
Sites, in units of the cell vectors:
Tc: 0.2500 0.2500 0.2500
Ho: 0.5000 0.5000 0.5000
Ta: 0.0000 0.0000 0.0000
Os: 0.7500 0.7500 0.7500

Calculated values
crystal system: cubic
D(E_F): 2.71 states/eV per cell
formation energy from the elements: -218.4 meV per atom